1.
A plane-wave DFT calculation with PBE was carried out for a relaxed structure of Pr6YHo12.

Unit cell a=11.1422 b=11.1422 c=17.5978 alpha=90.00 beta=90.00 gamma=120.00
Closest atoms and distances in Å follow each position.
Space group R-3m (No. 166, hexagonal axes)
One atom of each set of equivalent atoms:
Pr  0.0675  0.5337  0.2673 [18 per cell]  1 Y 3.12, 3 Ho 3.34-3.38
Y  0.0000  0.0000  0.5000 [3 per cell]  6 Pr 3.12
Ho  0.1015  0.5507  0.9134 [18 per cell]  5 Ho 3.46-3.81, 5 Pr 3.57-3.68
Ho  0.1057  0.2115  0.9073 [18 per cell]  3 Pr 3.34-3.38, 5 Ho 3.46-3.53

Summary:
The total energy is -87.6 eV per formula unit. The energy relative to the elements is 0.13 eV per atom. Its total magnetization is 0.00 μB per formula unit.



2.
A plane-wave DFT calculation with PBE was carried out for a relaxed structure of LaCdTc2.

Unit cell a=2.9246 b=2.9246 c=31.0728 alpha=90.00 beta=90.00 gamma=120.00
Closest atoms and distances in Å follow each position.
Space group R-3m (No. 166, hexagonal axes)
One atom of each set of equivalent atoms:
La  0.0000  0.0000  0.0000 [3 per cell]  6 La 2.92, 6 Tc 3.25
Cd  0.0000  0.0000  0.5000 [3 per cell]  6 Cd 2.92, 6 Tc 2.93
Tc  0.0000  0.0000  0.2439 [6 per cell]  6 Tc 2.92, 3 Cd 2.93, 3 La 3.25

Summary:
The total energy is -23.5 eV per formula unit. The energy relative to the elements is 0.77 eV per atom. Its total magnetization is 0.00 μB per formula unit.



3.
A plane-wave DFT calculation with PBE was carried out for a relaxed structure of Cu4Se.

Unit cell a=6.0649 b=6.0649 c=3.6789 alpha=90.00 beta=90.00 gamma=90.00
Closest atoms and distances in Å follow each position.
Space group I4/m (No. 87)
One atom of each set of equivalent atoms:
Cu  0.0979  0.3127  0.0000 [8 per cell]  9 Cu 2.56-2.81, 3 Se 2.69-2.71
Se  0.0000  0.0000  0.5000 [2 per cell]  12 Cu 2.69-2.71

Summary:
Its energy relative to the elements, uncorrected is 0.09 eV per atom. The total energy is -19.4 eV per formula unit. Its total magnetization is 0.00 μB per formula unit.



4.
A plane-wave DFT calculation with PBE was carried out for a relaxed structure of CeSm3Tm2P6.

Unit cell a=7.0058 b=12.1330 c=7.0200 alpha=90.00 beta=109.44 gamma=90.00
Closest atoms and distances in Å follow each position.
Space group C2/m (No. 12)
One atom of each set of equivalent atoms:
Ce  0.0000  0.0000  0.0000 [2 per cell]  6 P 2.83-2.84
Sm  0.0000  0.1663  0.5000 [4 per cell]  6 P 2.89-2.90
Sm  0.0000  0.5000  0.5000 [2 per cell]  6 P 2.89-2.90
Tm  0.0000  0.3333  0.0000 [4 per cell]  6 P 2.82-2.83
P  0.2454  0.5000  0.2405 [4 per cell]  2 Tm 2.82, 1 Ce 2.83, 3 Sm 2.89-2.90
P  0.2480  0.1674  0.2417 [8 per cell]  2 Tm 2.83, 1 Ce 2.84, 3 Sm 2.89-2.90

Summary:
The total energy is -80.4 eV per formula unit. The energy relative to the elements is -1.57 eV per atom. Its total magnetization is 0.24 μB per formula unit.



5.
A plane-wave DFT calculation with PBE was carried out for a relaxed structure of YNiIr3.

Unit cell a=4.9345 b=4.9345 c=4.9345 alpha=90.00 beta=90.00 gamma=90.00
Closest atoms and distances in Å follow each position.
Space group Pm-3m (No. 221)
One atom of each set of equivalent atoms:
Y  0.0000  0.0000  0.0000 [1 per cell]  6 Ir 2.47
Ni  0.5000  0.5000  0.5000 [1 per cell]  12 Ir 3.49
Ir  0.0000  0.0000  0.5000 [3 per cell]  2 Y 2.47

Summary:
The total energy is -27.1 eV per formula unit. The energy relative to the elements is 2.35 eV per atom. Its total magnetization is 2.81 μB per formula unit.



6.
A plane-wave DFT calculation with PBE was carried out for a relaxed structure of SmErGaRh.

Unit cell a=7.0649 b=7.0649 c=7.0649 alpha=90.00 beta=90.00 gamma=90.00
Closest atoms and distances in Å follow each position.
Space group F-43m (No. 216)
One atom of each set of equivalent atoms:
Sm  0.0000  0.0000  0.0000 [4 per cell]  4 Rh 3.06, 4 Ga 3.06
Er  0.0000  0.0000  0.5000 [4 per cell]  4 Rh 3.06, 4 Ga 3.06
Ga  0.2500  0.2500  0.7500 [4 per cell]  4 Er 3.06, 4 Sm 3.06
Rh  0.2500  0.2500  0.2500 [4 per cell]  4 Er 3.06, 4 Sm 3.06

Summary:
The total energy is -22.2 eV per formula unit. The energy relative to the elements is -0.64 eV per atom. Its total magnetization is 0.00 μB per formula unit.



7.
A plane-wave DFT calculation with PBE was carried out for a relaxed structure of AlSbCl.

Unit cell a=3.4590 b=5.9676 c=15.4839 alpha=90.00 beta=90.00 gamma=90.00
Closest atoms and distances in Å follow each position.
Space group Fmm2 (No. 42)
One atom of each set of equivalent atoms:
Al  0.0000  0.0000  0.0000 [4 per cell]  2 Cl 2.44, 2 Sb 2.73
Sb  0.0000  0.0000  0.3636 [4 per cell]  2 Al 2.73
Cl  0.0000  0.0000  0.6112 [4 per cell]  2 Al 2.44

Summary:
Its energy relative to the elements, uncorrected is -0.24 eV per atom. The total energy is -10.4 eV per formula unit. Its total magnetization is 0.00 μB per formula unit.



8.
A plane-wave DFT calculation with PBE was carried out for a relaxed structure of CsNaAcI5.

Unit cell a=10.6323 b=14.9804 c=12.3730 alpha=90.00 beta=112.17 gamma=90.00
Closest atoms and distances in Å follow each position.
Space group C2/c (No. 15)
One atom of each set of equivalent atoms:
Cs  0.0000  0.1561  0.2500 [4 per cell]  5 I 3.95-3.99
Na  0.0000  0.1879  0.7500 [4 per cell]  4 I 3.07-3.11
Ac  0.0000  0.5000  0.0000 [4 per cell]  6 I 3.26-3.30
I  0.0000  0.4223  0.2500 [4 per cell]  2 Ac 3.30
I  0.1064  0.2996  0.5941 [8 per cell]  1 Na 3.07, 1 Ac 3.26
I  0.1842  0.0561  0.9363 [8 per cell]  1 Na 3.11, 1 Ac 3.26

Summary:
Its energy relative to the elements, uncorrected is -1.46 eV per atom. The total energy is -25.7 eV per formula unit. Its total magnetization is 0.00 μB per formula unit.



9.
A plane-wave DFT calculation with PBE was carried out for a relaxed structure of CsIn2HgPb.

Unit cell a=8.7264 b=4.9303 c=9.2585 alpha=90.00 beta=106.24 gamma=90.00
Closest atoms and distances in Å follow each position.
Space group P2_1/m (No. 11)
One atom of each set of equivalent atoms:
Cs  0.2257  0.2500  0.3764 [2 per cell]  3 Hg 3.88-4.13, 3 Pb 4.04-4.18, 3 In 4.12-4.25
In  0.1561  0.2500  0.8124 [2 per cell]  3 Hg 3.00-3.34, 2 Pb 3.14, 1 In 3.32
In  0.4477  0.7500  0.1010 [2 per cell]  1 Hg 2.85, 2 Pb 3.19
Hg  0.1086  0.7500  0.0391 [2 per cell]  2 In 2.85-3.00, 2 Hg 3.07
Pb  0.3421  0.7500  0.7362 [2 per cell]  5 In 3.14-3.24

Summary:
The total energy is -10.8 eV per formula unit. The energy relative to the elements is -0.10 eV per atom. Its total magnetization is 0.00 μB per formula unit.



10.
A plane-wave DFT calculation with PBE was carried out for a relaxed structure of La4InRu2.

Unit cell a=7.2033 b=7.2757 c=8.9076 alpha=104.72 beta=107.71 gamma=105.83
Closest atoms and distances in Å follow each position.
Space group P1 (No. 1)
One atom of each set of equivalent atoms:
La  0.0000  0.0000  0.0000 [1 per cell]  2 Ru 2.73-2.84
La  0.0346  0.9159  0.4080 [1 per cell]  2 Ru 2.73-2.96
La  0.2344  0.6841  0.7831 [1 per cell]  2 Ru 2.82-2.85
La  0.4461  0.5643  0.1986 [1 per cell]  3 Ru 2.82-2.99
La  0.5534  0.4126  0.5804 [1 per cell]  1 Ru 2.58
La  0.5991  0.0996  0.1795 [1 per cell]  1 Ru 2.54
La  0.6525  0.9639  0.5952 [1 per cell]  1 Ru 2.51
La  0.8737  0.4743  0.0053 [1 per cell]  1 Ru 2.61
In  0.0856  0.4214  0.3792 [1 per cell]  2 Ru 2.85-2.98
In  0.3089  0.2361  0.8178 [1 per cell]  2 Ru 2.90-3.12
Ru  0.2722  0.8694  0.1915 [1 per cell]  3 La 2.54-2.83
Ru  0.6359  0.6864  0.9659 [1 per cell]  3 La 2.61-2.85
Ru  0.8033  0.5948  0.4629 [1 per cell]  3 La 2.58-2.82, 1 In 2.85
Ru  0.9313  0.2786  0.6206 [1 per cell]  1 La 2.51

Summary:
The total energy is -43.1 eV per formula unit. The energy relative to the elements is -0.30 eV per atom. Its total magnetization is 0.00 μB per formula unit.



11.
A plane-wave DFT calculation with PBE was carried out for a relaxed structure of Tm4Zn3Ni.

Unit cell a=3.4598 b=3.4598 c=13.9422 alpha=90.00 beta=90.00 gamma=90.00
Closest atoms and distances in Å follow each position.
Space group P4/mmm (No. 123)
One atom of each set of equivalent atoms:
Tm  0.0000  0.0000  0.1145 [2 per cell]  4 Ni 2.92, 4 Zn 3.05, 1 Tm 3.19
Tm  0.0000  0.0000  0.3714 [2 per cell]  8 Zn 3.01-3.03
Zn  0.5000  0.5000  0.2451 [2 per cell]  8 Tm 3.01-3.05
Zn  0.5000  0.5000  0.5000 [1 per cell]  8 Tm 3.03
Ni  0.5000  0.5000  0.0000 [1 per cell]  8 Tm 2.92

Summary:
The total energy is -30.5 eV per formula unit. The energy relative to the elements is -0.38 eV per atom. Its total magnetization is 0.00 μB per formula unit.



12.
A plane-wave DFT calculation with PBE was carried out for a relaxed structure of Y2CuOs.

Unit cell a=4.1667 b=4.1667 c=9.3571 alpha=90.00 beta=90.00 gamma=90.00
Closest atoms and distances in Å follow each position.
Space group I-4m2 (No. 119)
One atom of each set of equivalent atoms:
Y  0.0000  0.0000  0.0000 [2 per cell]  4 Os 2.95, 4 Cu 3.13, 4 Y 3.13
Y  0.0000  0.5000  0.2500 [2 per cell]  4 Cu 2.95, 4 Os 3.13, 4 Y 3.13
Cu  0.0000  0.5000  0.7500 [2 per cell]  8 Y 2.95-3.13, 4 Os 3.13
Os  0.0000  0.0000  0.5000 [2 per cell]  8 Y 2.95-3.13, 4 Cu 3.13

Summary:
The total energy is -27.9 eV per formula unit. The energy relative to the elements is 0.08 eV per atom. Its total magnetization is 0.00 μB per formula unit.



- total magnetization of number 1 (Pr6YHo12)?
  0.00 μB per formula unit



- What is the total magnetization in the tenth record?
  0.00 μB per formula unit